No. 1
Below is an optimized crystal structure of HgPt3S6, with properties calculated at the PBE level.

- raw total energy (eV/atom) = -4.5290

Cell lengths 8.7003, 12.0826, 3.7024 Å; angles 90.00, 90.00, 90.00 degrees
Last column: nearest neighbours and their distance in Å.
Space group Cmmm (No. 65)
Asymmetric unit:
Hg 0.0000 0.0000 0.0000  8 S 2.73-3.01
Pt 0.0000 0.5000 0.0000  4 S 2.32
Pt 0.2500 0.2500 0.5000  6 S 2.40-2.42
S 0.0000 0.1656 0.5000  2 Pt 2.40
S 0.2019 0.3739 0.0000  3 Pt 2.32-2.42


No. 2
Below is an optimized crystal structure of HgSbPt, with properties calculated at the PBE level.

- ΔE to the lowest computed polymorph (eV/atom) = 0.000

Cell lengths 6.5157, 6.5157, 6.5157 Å; angles 90.00, 90.00, 90.00 degrees
Last column: nearest neighbours and their distance in Å.
Space group F-43m (No. 216)
Asymmetric unit:
Hg 0.0000 0.0000 0.0000  4 Pt 2.82
Sb 0.0000 0.0000 0.5000  4 Pt 2.82
Pt 0.2500 0.2500 0.2500  4 Hg 2.82, 4 Sb 2.82


No. 3
Below is an optimized crystal structure of Sc2Hg2Pt, with properties calculated at the PBE level.

- E_form (eV per atom) = -0.10

Cell lengths 3.9010, 3.9010, 14.2434 Å; angles 90.00, 90.00, 90.00 degrees
Last column: nearest neighbours and their distance in Å.
Space group I4/mmm (No. 139)
Asymmetric unit:
Sc 0.0000 0.0000 0.0923  1 Sc 2.63
Hg 0.0000 0.5000 0.2500  4 Hg 2.76, 4 Sc 2.97
Pt 0.0000 0.0000 0.5000  8 Sc 3.06


No. 4
Below is an optimized crystal structure of ScHgPt, with properties calculated at the PBE level.

- E_form (eV per atom) = -0.40

Cell lengths 6.4404, 6.4404, 6.4404 Å; angles 90.00, 90.00, 90.00 degrees
Last column: nearest neighbours and their distance in Å.
Space group F-43m (No. 216)
Asymmetric unit:
Sc 0.0000 0.0000 0.0000  4 Pt 2.79, 4 Hg 2.79
Hg 0.2500 0.2500 0.7500  4 Sc 2.79
Pt 0.2500 0.2500 0.2500  4 Sc 2.79


No. 5
Below is an optimized crystal structure of ScHgPt2, with properties calculated at the PBE level.

- E_form (eV per atom) = -0.55

Cell lengths 6.5657, 6.5657, 6.5657 Å; angles 90.00, 90.00, 90.00 degrees
Last column: nearest neighbours and their distance in Å.
Space group F-43m (No. 216)
Asymmetric unit:
Sc 0.0000 0.0000 0.0000  4 Hg 2.84, 4 Pt 2.84
Hg 0.2500 0.2500 0.2500  4 Sc 2.84, 4 Pt 2.84
Pt 0.0000 0.0000 0.5000  4 Hg 2.84, 4 Pt 2.84
Pt 0.2500 0.2500 0.7500  4 Sc 2.84, 4 Pt 2.84


No. 6
Below is an optimized crystal structure of ScHgPt, with properties calculated at the PBE level.

- E_form (eV per atom) = -0.62

Cell lengths 6.4412, 6.4412, 6.4412 Å; angles 90.00, 90.00, 90.00 degrees
Last column: nearest neighbours and their distance in Å.
Space group F-43m (No. 216)
Asymmetric unit:
Sc 0.0000 0.0000 0.0000  4 Pt 2.79
Hg 0.0000 0.0000 0.5000  4 Pt 2.79
Pt 0.2500 0.2500 0.7500  4 Hg 2.79, 4 Sc 2.79


No. 7
Below is an optimized crystal structure of ScHg2Pt, with properties calculated at the PBE level.

- E_form (eV per atom) = -0.41

Cell lengths 6.7604, 6.7604, 6.7604 Å; angles 90.00, 90.00, 90.00 degrees
Last column: nearest neighbours and their distance in Å.
Space group F-43m (No. 216)
Asymmetric unit:
Sc 0.0000 0.0000 0.0000  4 Hg 2.93, 4 Pt 2.93
Hg 0.0000 0.0000 0.5000  4 Hg 2.93, 4 Pt 2.93
Hg 0.2500 0.2500 0.7500  4 Hg 2.93, 4 Sc 2.93
Pt 0.2500 0.2500 0.2500  4 Hg 2.93, 4 Sc 2.93


No. 8
Below is an optimized crystal structure of HgPt3Se6, with properties calculated at the PBE level.

- raw total energy (eV/atom) = -4.1479

Cell lengths 9.1483, 12.7341, 3.8459 Å; angles 90.00, 90.00, 90.00 degrees
Last column: nearest neighbours and their distance in Å.
Space group Cmmm (No. 65)
Asymmetric unit:
Hg 0.0000 0.0000 0.0000  8 Se 2.84-3.14
Pt 0.0000 0.5000 0.0000  4 Se 2.44
Pt 0.2500 0.2500 0.5000  6 Se 2.53-2.54
Se 0.0000 0.1644 0.5000  2 Pt 2.53
Se 0.2036 0.3757 0.0000  3 Pt 2.44-2.54